1.
DFT (PBE-GGA) results for a geometry-optimized Ba2TlIr structure.

Lattice parameters (Å, degrees): 5.4631 8.8215 4.3081 60.91 89.91 128.04
Last column: nearest neighbours and their distance in Å.
Fractional positions:
Tl (0.5000, 0.0000, 0.5000)  8 Ba 3.47-3.48, 4 Ir 3.85-3.87
Ir (0.5000, 0.5000, 0.0000)  8 Ba 3.47-3.48, 4 Tl 3.85-3.87
Ba (0.0000, 0.0000, 0.0000)  4 Ir 3.47-3.48, 4 Tl 3.48, 4 Ba 3.85-3.87
Ba (0.0000, 0.5000, 0.5000)  4 Tl 3.47-3.48, 4 Ir 3.48, 4 Ba 3.85-3.87

Computed properties:
- magnetization (μB/f.u.) = 0.00
- total DFT energy (no corrections) (eV per atom) = -3.72
- polymorph energy (0 for the lowest one) (meV/atom) = 187
- symmetry = No. 12

=====

2.
DFT (PBE-GGA) results for a geometry-optimized BaTlIr structure.

Lattice parameters (Å, degrees): 4.4874 5.9881 7.2845 78.49 72.07 89.97
Last column: nearest neighbours and their distance in Å.
Fractional positions:
Ba (0.3772, 0.6668, 0.7456)  1 Ir 3.06
Ba (0.6228, 0.3332, 0.2544)  1 Ir 3.06
Tl (0.0847, 0.8067, 0.3304)  3 Ir 2.87-2.90
Tl (0.9153, 0.1933, 0.6696)  3 Ir 2.87-2.90
Ir (0.7192, 0.9179, 0.0615)  2 Ir 2.52-2.53
Ir (0.2808, 0.0821, 0.9385)  2 Ir 2.52-2.53

Computed properties:
- magnetization (μB/f.u.) = 0.00
- total DFT energy (no corrections) (eV per atom) = -4.57
- symmetry = No. 12

=====

3.
DFT (PBE-GGA) results for a geometry-optimized BaTlIr3 structure.

Lattice parameters (Å, degrees): 5.1000 5.1000 5.1000 90.00 90.00 90.00
Last column: nearest neighbours and their distance in Å.
Fractional positions:
Tl (0.0000, 0.0000, 0.0000)  6 Ir 2.55
Ir (0.0000, 0.5000, 0.0000)  2 Tl 2.55
Ir (0.0000, 0.0000, 0.5000)  2 Tl 2.55
Ir (0.5000, 0.0000, 0.0000)  2 Tl 2.55
Ba (0.5000, 0.5000, 0.5000)  12 Ir 3.61

Computed properties:
- magnetization (μB/f.u.) = 1.64
- total DFT energy (no corrections) (eV per atom) = -4.80
- polymorph energy (0 for the lowest one) (meV/atom) = 0
- symmetry = No. 221

=====

4.
DFT (PBE-GGA) results for a geometry-optimized BaTlIr structure.

Lattice parameters (Å, degrees): 6.6927 6.6927 6.6927 149.86 147.34 45.03
Last column: nearest neighbours and their distance in Å.
Fractional positions:
Tl (0.2964, 0.2964, 0.0000)  4 Ir 2.90
Ir (0.6866, 0.6866, 0.0000)  4 Tl 2.90
Ba (0.0170, 0.0170, 0.0000)  4 Ir 3.31, 1 Tl 3.45, 2 Ba 3.48

Computed properties:
- magnetization (μB/f.u.) = 0.00
- total DFT energy (no corrections) (eV per atom) = -4.28
- symmetry = No. 44